DFT (GGA+U) results for crystalline AcNiMo2O8 at its relaxed geometry.

Computed properties:
E_tot = -6.88 eV/atom
DOS at the Fermi energy = 3.78 states/eV/cell
total magnetization = 3.0 μB/f.u.

Cell lengths 5.362, 5.362, 6.791 Å; angles 66.75, 66.75, 60.00 degrees
Site moments in Bohr magnetons follow the coordinates.
Fractional positions:
Ac 0.500 0.500 0.500  0.01
Ni 0.000 0.000 0.000  1.75
Mo 0.298 0.298 0.106  0.67
Mo 0.702 0.702 0.894  0.67
O 0.197 0.197 0.409  -0.04
O 0.637 0.326 0.146  -0.01
O 0.803 0.803 0.591  -0.04
O 0.891 0.637 0.146  -0.01
O 0.109 0.363 0.854  -0.01
O 0.326 0.891 0.146  -0.01
O 0.674 0.109 0.854  -0.01
O 0.363 0.674 0.854  -0.01